{
  "formula": "GaTc3H",
  "functional": "GGA-PBE",
  "state": "optimized geometry",
  "lattice": [[-0.785, 3.390, 2.935], [1.855, -2.467, 3.346], [4.082, 1.773, -0.956]],
  "species": ["H", "Tc", "Tc", "Tc", "Ga"],
  "frac_coords": [[0.500, 0.500, 0.500], [0.000, 0.500, 0.000], [0.000, 0.000, 0.500], [0.500, 0.000, 0.000], [0.000, 0.000, 0.000]],
  "magnetic_moment_mub_per_fu": 0.00
}

{
  "formula": "GaTcH3",
  "functional": "GGA-PBE",
  "state": "optimized geometry",
  "lattice": [[-0.688, -0.294, 3.415], [1.769, -3.014, 0.097], [2.936, 1.747, 0.742]],
  "species": ["H", "H", "H", "Tc", "Ga"],
  "frac_coords": [[0.000, 0.500, 0.000], [0.000, 0.000, 0.500], [0.500, 0.000, 0.000], [0.000, 0.000, 0.000], [0.500, 0.500, 0.500]],
  "magnetic_moment_mub_per_fu": 0.45
}

Number 1: raw total energy -5.14 eV per atom. Number 2: raw total energy -4.39 eV per atom.